one) The following is a GGA-PBE calculation of crystalline Ta2CdBr at its relaxed geometry, from the Alexandria database.

Lattice parameters (Å, degrees): 5.366 5.366 5.366 133.81 133.81 67.38
Fractional coordinates of all 4 atoms:
Ta (0.250, 0.750, 0.500)
Ta (0.000, 0.000, 0.000)
Br (0.500, 0.500, 0.000)
Cd (0.750, 0.250, 0.500)

Computed properties:
Volume   19.78 A^3/atom
SG   I-4m2
Mass density   11.63 Mg/m³


two) The following is a GGA-PBE calculation of crystalline Ta2CdBr at its relaxed geometry, from the Alexandria database.

Lattice parameters (Å, degrees): 3.064 3.064 9.861 90.00 90.00 120.37
Fractional coordinates of all 4 atoms:
Cd (0.500, 0.500, 0.750)
Ta (0.000, 0.000, 0.009)
Ta (0.000, 0.000, 0.491)
Br (0.500, 0.500, 0.250)

Computed properties:
Volume   19.97 A^3/atom
SG   Cmmm
Mass density   11.52 Mg/m³


Which of them is most stable, and which least? Most stable: two); least stable: one).


one) The following is a GGA-PBE calculation of crystalline Ta2CdBr at its relaxed geometry, from the Alexandria database.

Lattice parameters (Å, degrees): 4.968 4.068 4.068 90.00 90.00 90.00
Fractional coordinates of all 4 atoms:
Ta (0.000, 0.000, 0.000)
Cd (0.500, 0.000, 0.500)
Ta (0.000, 0.500, 0.500)
Br (0.500, 0.500, 0.000)

Computed properties:
Volume   20.55 A^3/atom
SG   P4/mmm
Mass density   11.20 Mg/m³


two) The following is a GGA-PBE calculation of crystalline Ta2CdBr at its relaxed geometry, from the Alexandria database.

Lattice parameters (Å, degrees): 9.641 9.641 9.641 18.20 18.20 18.20
Fractional coordinates of all 4 atoms:
Ta (0.505, 0.505, 0.505)
Cd (0.750, 0.750, 0.750)
Br (0.250, 0.250, 0.250)
Ta (0.995, 0.995, 0.995)

Computed properties:
Volume   19.09 A^3/atom
SG   R-3m
Mass density   12.05 Mg/m³


Which of them is most stable, and which least? Most stable: two); least stable: one).


one) The following is a GGA-PBE calculation of crystalline TaCdBr2 at its relaxed geometry, from the Alexandria database.

Lattice parameters (Å, degrees): 7.821 7.821 5.286 70.26 70.26 23.20
Each line ends with the local moment (μB).
Fractional coordinates of all 4 atoms:
Br (0.601, 0.601, 0.399)  0.00
Br (0.899, 0.899, 0.101)  0.00
Cd (0.750, 0.750, 0.750)  0.00
Ta (0.250, 0.250, 0.250)  0.32

Computed properties:
Volume   29.89 A^3/atom
SG   Immm
Mass density   6.29 Mg/m³


two) The following is a GGA-PBE calculation of crystalline TaCdBr2 at its relaxed geometry, from the Alexandria database.

Lattice parameters (Å, degrees): 5.128 5.128 5.128 126.26 126.26 79.46
Fractional coordinates of all 4 atoms:
Cd (0.250, 0.750, 0.500)
Br (0.000, 0.000, 0.000)
Br (0.500, 0.500, 0.000)
Ta (0.750, 0.250, 0.500)

Computed properties:
Volume   21.18 A^3/atom
SG   I4/mmm
Mass density   8.88 Mg/m³


Which of them is most stable, and which least? Most stable: one); least stable: two).


one) The following is a GGA-PBE calculation of crystalline TaCdBr2 at its relaxed geometry, from the Alexandria database.

Lattice parameters (Å, degrees): 4.528 3.305 6.280 79.96 90.00 90.00
Each line ends with the local moment (μB).
Fractional coordinates of all 4 atoms:
Br (0.000, 0.664, 0.524)  0.00
Br (0.000, 0.836, 0.976)  0.00
Cd (0.500, 0.250, 0.250)  0.00
Ta (0.500, 0.750, 0.750)  0.36

Computed properties:
Volume   23.14 A^3/atom
SG   P2/m
Mass density   8.13 Mg/m³


two) The following is a GGA-PBE calculation of crystalline TaCdBr2 at its relaxed geometry, from the Alexandria database.

Lattice parameters (Å, degrees): 5.933 5.933 3.219 70.94 70.94 107.37
Each line ends with the local moment (μB).
Fractional coordinates of all 4 atoms:
Br (0.500, 0.500, 0.000)  0.00
Cd (0.500, 0.000, 0.500)  0.00
Br (0.000, 0.000, 0.000)  0.00
Ta (0.000, 0.500, 0.500)  0.12

Computed properties:
Volume   22.56 A^3/atom
SG   C2/m
Mass density   8.34 Mg/m³


Which of them is most stable, and which least? Most stable: one); least stable: two).


one) The following is a GGA-PBE calculation of crystalline TaCdBr2 at its relaxed geometry, from the Alexandria database.

Lattice parameters (Å, degrees): 4.948 3.223 6.865 77.14 90.00 90.00
Fractional coordinates of all 4 atoms:
Ta (0.500, 0.902, 0.818)
Cd (0.000, 0.513, 0.584)
Br (0.500, 0.252, 0.134)
Br (0.000, 0.833, 0.964)

Computed properties:
Volume   26.68 A^3/atom
SG   Pm
Mass density   7.05 Mg/m³


two) The following is a GGA-PBE calculation of crystalline TaCdBr2 at its relaxed geometry, from the Alexandria database.

Lattice parameters (Å, degrees): 3.299 3.299 8.592 90.00 90.00 90.00
Each line ends with the local moment (μB).
Fractional coordinates of all 4 atoms:
Br (0.500, 0.500, 0.300)  0.06
Ta (0.500, 0.500, 0.754)  0.62
Br (0.000, 0.000, 0.932)  -0.01
Cd (0.000, 0.000, 0.514)  0.01

Computed properties:
Volume   23.38 A^3/atom
SG   P4mm
Mass density   8.05 Mg/m³


three) The following is a GGA-PBE calculation of crystalline TaCdBr2 at its relaxed geometry, from the Alexandria database.

Lattice parameters (Å, degrees): 3.439 3.439 11.158 90.00 90.00 125.85
Fractional coordinates of all 4 atoms:
Br (0.000, 0.000, 0.940)
Cd (0.500, 0.500, 0.250)
Ta (0.500, 0.500, 0.750)
Br (0.000, 0.000, 0.560)

Computed properties:
Volume   26.74 A^3/atom
SG   Cmmm
Mass density   7.04 Mg/m³


four) The following is a GGA-PBE calculation of crystalline TaCdBr2 at its relaxed geometry, from the Alexandria database.

Lattice parameters (Å, degrees): 5.288 5.288 3.284 90.00 90.00 90.00
Each line ends with the local moment (μB).
Fractional coordinates of all 4 atoms:
Cd (0.500, 0.000, 0.500)  -0.06
Br (0.000, 0.000, 0.000)  -0.02
Ta (0.000, 0.500, 0.500)  1.52
Br (0.500, 0.500, 0.000)  -0.02

Computed properties:
Volume   22.96 A^3/atom
SG   P4/mmm
Mass density   8.19 Mg/m³


Which of them is most stable, and which least? Most stable: three); least stable: four).


one) The following is a GGA-PBE calculation of crystalline TaCdBr2 at its relaxed geometry, from the Alexandria database.

Lattice parameters (Å, degrees): 10.823 10.823 10.823 17.42 17.42 17.42
Fractional coordinates of all 4 atoms:
Cd (0.250, 0.250, 0.250)
Ta (0.750, 0.750, 0.750)
Br (0.024, 0.024, 0.024)
Br (0.476, 0.476, 0.476)

Computed properties:
Volume   24.78 A^3/atom
SG   R-3m
Mass density   7.59 Mg/m³


two) The following is a GGA-PBE calculation of crystalline TaCdBr2 at its relaxed geometry, from the Alexandria database.

Lattice parameters (Å, degrees): 9.126 9.126 7.090 49.94 49.94 90.00
Each line ends with the local moment (μB).
Fractional coordinates of all 8 atoms:
Br (0.375, 0.243, 0.750)  0.00
Ta (0.750, 0.250, 0.500)  1.32
Cd (0.500, 0.500, 0.000)  0.01
Br (0.875, 0.007, 0.750)  0.00
Br (0.757, 0.125, 0.250)  0.00
Cd (0.250, 0.750, 0.500)  0.01
Br (0.993, 0.625, 0.250)  -0.01
Ta (0.000, 0.000, 0.000)  1.31

Computed properties:
Volume   30.58 A^3/atom
SG   I-42d
Mass density   6.15 Mg/m³


Which of them is most stable, and which least? Most stable: one); least stable: two).


one) The following is a GGA-PBE calculation of crystalline TaCdBr2 at its relaxed geometry, from the Alexandria database.

Lattice parameters (Å, degrees): 3.191 3.191 10.082 90.00 90.00 90.00
Fractional coordinates of all 4 atoms:
Br (0.000, 0.000, 0.588)
Cd (0.500, 0.500, 0.250)
Br (0.000, 0.000, 0.912)
Ta (0.500, 0.500, 0.750)

Computed properties:
Volume   25.67 A^3/atom
SG   P4/mmm
Mass density   7.33 Mg/m³


two) The following is a GGA-PBE calculation of crystalline TaCdBr2 at its relaxed geometry, from the Alexandria database.

Lattice parameters (Å, degrees): 6.321 6.321 6.321 141.59 141.59 55.44
Each line ends with the local moment (μB).
Fractional coordinates of all 4 atoms:
Ta (0.750, 0.250, 0.500)  1.93
Cd (0.500, 0.500, 0.000)  -0.03
Br (0.000, 0.000, 0.000)  0.04
Br (0.250, 0.750, 0.500)  0.04

Computed properties:
Volume   24.19 A^3/atom
SG   I-4m2
Mass density   7.78 Mg/m³


three) The following is a GGA-PBE calculation of crystalline TaCdBr2 at its relaxed geometry, from the Alexandria database.

Lattice parameters (Å, degrees): 4.210 4.714 4.714 90.00 90.00 90.00
Each line ends with the local moment (μB).
Fractional coordinates of all 4 atoms:
Br (0.000, 0.500, 0.500)  -0.01
Cd (0.500, 0.500, 0.000)  -0.03
Br (0.000, 0.000, 0.000)  -0.01
Ta (0.500, 0.000, 0.500)  1.93

Computed properties:
Volume   23.39 A^3/atom
SG   P4/mmm
Mass density   8.04 Mg/m³


four) The following is a GGA-PBE calculation of crystalline TaCdBr2 at its relaxed geometry, from the Alexandria database.

Lattice parameters (Å, degrees): 4.909 4.909 4.909 60.00 60.00 60.00
Fractional coordinates of all 4 atoms:
Br (0.750, 0.750, 0.750)
Cd (0.000, 0.000, 0.000)
Br (0.250, 0.250, 0.250)
Ta (0.500, 0.500, 0.500)

Computed properties:
Volume   20.92 A^3/atom
SG   Fm-3m
Mass density   8.99 Mg/m³


Which of them is most stable, and which least? Most stable: one); least stable: three).


one) The following is a GGA-PBE calculation of crystalline TaCdBr2 at its relaxed geometry, from the Alexandria database.

Lattice parameters (Å, degrees): 5.314 5.314 3.249 90.00 90.00 106.02
Each line ends with the local moment (μB).
Fractional coordinates of all 4 atoms:
Br (0.000, 0.000, 0.000)  -0.01
Cd (0.500, 0.000, 0.500)  -0.01
Br (0.500, 0.500, 0.000)  -0.01
Ta (0.000, 0.500, 0.500)  0.55

Computed properties:
Volume   22.05 A^3/atom
SG   Cmmm
Mass density   8.53 Mg/m³


two) The following is a GGA-PBE calculation of crystalline TaCdBr2 at its relaxed geometry, from the Alexandria database.

Lattice parameters (Å, degrees): 3.309 3.309 9.924 90.00 90.00 114.05
Fractional coordinates of all 4 atoms:
Ta (0.500, 0.500, 0.744)
Br (0.000, 0.000, 0.939)
Cd (0.000, 0.000, 0.509)
Br (0.500, 0.500, 0.308)

Computed properties:
Volume   24.81 A^3/atom
SG   Cmm2
Mass density   7.58 Mg/m³


Which of them is most stable, and which least? Most stable: two); least stable: one).


one) The following is a GGA-PBE calculation of crystalline TaCdBr2 at its relaxed geometry, from the Alexandria database.

Lattice parameters (Å, degrees): 3.195 5.949 4.738 90.00 90.00 90.00
Fractional coordinates of all 4 atoms:
Cd (0.500, 0.000, 0.500)
Ta (0.000, 0.500, 0.500)
Br (0.500, 0.500, 0.000)
Br (0.000, 0.000, 0.000)

Computed properties:
Volume   22.51 A^3/atom
SG   Pmmm
Mass density   8.36 Mg/m³


two) The following is a GGA-PBE calculation of crystalline TaCdBr2 at its relaxed geometry, from the Alexandria database.

Lattice parameters (Å, degrees): 5.146 5.146 5.146 60.00 60.00 60.00
Each line ends with the local moment (μB).
Fractional coordinates of all 4 atoms:
Ta (0.750, 0.750, 0.750)  1.89
Br (0.000, 0.000, 0.000)  0.01
Br (0.250, 0.250, 0.250)  -0.01
Cd (0.500, 0.500, 0.500)  0.05

Computed properties:
Volume   24.09 A^3/atom
SG   F-43m
Mass density   7.81 Mg/m³


three) The following is a GGA-PBE calculation of crystalline TaCdBr2 at its relaxed geometry, from the Alexandria database.

Lattice parameters (Å, degrees): 5.778 5.778 7.685 67.92 67.92 32.32
Each line ends with the local moment (μB).
Fractional coordinates of all 4 atoms:
Cd (0.563, 0.563, 0.375)  0.01
Br (0.740, 0.740, 0.668)  0.00
Ta (0.298, 0.298, 0.375)  0.36
Br (0.899, 0.899, 0.082)  0.00

Computed properties:
Volume   31.56 A^3/atom
SG   Cm
Mass density   5.96 Mg/m³


four) The following is a GGA-PBE calculation of crystalline TaCdBr2 at its relaxed geometry, from the Alexandria database.

Lattice parameters (Å, degrees): 11.305 11.305 11.305 17.18 17.18 17.18
Fractional coordinates of all 4 atoms:
Ta (0.000, 0.000, 0.000)
Br (0.073, 0.073, 0.073)
Br (0.927, 0.927, 0.927)
Cd (0.500, 0.500, 0.500)

Computed properties:
Volume   27.50 A^3/atom
SG   R-3m
Mass density   6.84 Mg/m³


Which of them is most stable, and which least? Most stable: three); least stable: two).


one) The following is a GGA-PBE calculation of crystalline TaCdBr at its relaxed geometry, from the Alexandria database.

Lattice parameters (Å, degrees): 4.761 4.761 3.110 90.00 90.00 120.00
Fractional coordinates of all 3 atoms:
Cd (0.667, 0.333, 0.333)
Br (0.000, 0.000, 0.833)
Ta (0.333, 0.667, 0.833)

Computed properties:
Volume   20.35 A^3/atom
SG   P-6m2
Mass density   10.15 Mg/m³


two) The following is a GGA-PBE calculation of crystalline TaCdBr at its relaxed geometry, from the Alexandria database.

Lattice parameters (Å, degrees): 4.656 4.656 4.656 60.00 60.00 60.00
Each line ends with the local moment (μB).
Fractional coordinates of all 3 atoms:
Ta (0.750, 0.750, 0.750)  0.31
Cd (0.500, 0.500, 0.500)  -0.01
Br (0.000, 0.000, 0.000)  -0.01

Computed properties:
Volume   23.79 A^3/atom
SG   F-43m
Mass density   8.68 Mg/m³


three) The following is a GGA-PBE calculation of crystalline TaCdBr at its relaxed geometry, from the Alexandria database.

Lattice parameters (Å, degrees): 3.195 3.195 8.151 90.00 90.00 120.00
Fractional coordinates of all 3 atoms:
Cd (0.333, 0.667, 0.395)
Ta (0.667, 0.333, 0.688)
Br (0.000, 0.000, 0.917)

Computed properties:
Volume   24.02 A^3/atom
SG   P3m1
Mass density   8.60 Mg/m³


Which of them is most stable, and which least? Most stable: three); least stable: two).


one) The following is a GGA-PBE calculation of crystalline TaCdBr at its relaxed geometry, from the Alexandria database.

Lattice parameters (Å, degrees): 4.589 4.589 4.589 60.00 60.00 60.00
Fractional coordinates of all 3 atoms:
Ta (0.500, 0.500, 0.500)
Br (0.750, 0.750, 0.750)
Cd (0.000, 0.000, 0.000)

Computed properties:
Volume   22.78 A^3/atom
SG   F-43m
Mass density   9.07 Mg/m³


two) The following is a GGA-PBE calculation of crystalline TaCdBr at its relaxed geometry, from the Alexandria database.

Lattice parameters (Å, degrees): 8.890 8.642 3.130 84.22 75.27 20.51
Fractional coordinates of all 3 atoms:
Cd (0.303, 0.303, 0.697)
Br (0.038, 0.038, 0.962)
Ta (0.659, 0.659, 0.341)

Computed properties:
Volume   24.83 A^3/atom
SG   Fmm2
Mass density   8.32 Mg/m³


Which of them is most stable, and which least? Most stable: two); least stable: one).


one) The following is a GGA-PBE calculation of crystalline TaCdBr3 at its relaxed geometry, from the Alexandria database.

Lattice parameters (Å, degrees): 5.430 5.430 5.430 90.00 90.00 90.00
Each line ends with the local moment (μB).
Fractional coordinates of all 5 atoms:
Cd (0.000, 0.000, 0.000)  0.01
Br (0.500, 0.000, 0.000)  0.01
Br (0.000, 0.500, 0.000)  0.01
Ta (0.500, 0.500, 0.500)  2.44
Br (0.000, 0.000, 0.500)  0.01

Computed properties:
Volume   32.02 A^3/atom
SG   Pm-3m
Mass density   5.53 Mg/m³


two) The following is a GGA-PBE calculation of crystalline TaCdBr3 at its relaxed geometry, from the Alexandria database.

Lattice parameters (Å, degrees): 5.214 5.214 5.214 90.00 90.00 90.00
Each line ends with the local moment (μB).
Fractional coordinates of all 5 atoms:
Cd (0.500, 0.500, 0.500)  -0.01
Br (0.000, 0.000, 0.500)  0.01
Ta (0.000, 0.000, 0.000)  0.39
Br (0.000, 0.500, 0.000)  0.01
Br (0.500, 0.000, 0.000)  0.01

Computed properties:
Volume   28.35 A^3/atom
SG   Pm-3m
Mass density   6.24 Mg/m³


Which of them is most stable, and which least? Most stable: two); least stable: one).